VASP calculation (PBE) on crystalline PrGa3Cu at its relaxed geometry.

Lattice parameters (Å, degrees): 4.6979 6.6949 6.6837 90.00 90.00 90.00
Closest atoms and distances in Å follow each position.
Element x y z (fractional)
Cu1 0.0000 0.5000 0.0000  6 Ga 2.35-2.37
Cu2 0.0000 0.0000 0.5000  6 Ga 2.35-2.37
Ga1 0.0000 0.7498 0.7498  2 Cu 2.36-2.37
Ga2 0.0000 0.2498 0.7502  2 Cu 2.36-2.37
Ga3 0.5000 0.0000 0.5000  2 Cu 2.35
Ga4 0.5000 0.5000 0.0000  2 Cu 2.35
Ga5 0.0000 0.7502 0.2498  2 Cu 2.36-2.37
Ga6 0.0000 0.2502 0.2502  2 Cu 2.36-2.37
Pr1 0.5000 0.0000 0.0000  12 Ga 3.33-3.35
Pr2 0.5000 0.5000 0.5000  12 Ga 3.33-3.35

energy relative to the lowest polymorph listed for this composition	329.6	meV/atom
space group	Cmmm
density of states at the Fermi level	4.86	states/eV/cell
ΔE_f	-0.202	eV/atom
total magnetic moment	0.0	μB/f.u.
uncorrected energy	-3.794	eV per atom

VASP calculation (PBE) on crystalline NaAsPb at its relaxed geometry.

Lattice parameters (Å, degrees): 5.0284 5.0284 5.0284 60.00 60.00 60.00
Closest atoms and distances in Å follow each position.
Element x y z (fractional)
Pb1 0.0000 0.0000 0.0000  4 As 3.08
Na1 0.5000 0.5000 0.5000  4 As 3.08
As1 0.2500 0.2500 0.2500  4 Pb 3.08, 4 Na 3.08

space group	F-43m
density of states at the Fermi level	0.87	states/eV/cell
ΔE_f	-0.210	eV/atom
total magnetic moment	0.0	μB/f.u.
uncorrected energy	-3.436	eV per atom

VASP calculation (PBE) on crystalline EuGdHoCd at its relaxed geometry.

Lattice parameters (Å, degrees): 5.5527 5.5527 5.5527 60.00 60.00 60.00
Closest atoms and distances in Å follow each position.
Element x y z (fractional)
Cd1 0.7500 0.7500 0.7500  4 Gd 3.40, 4 Eu 3.40
Eu1 0.5000 0.5000 0.5000  4 Ho 3.40, 4 Cd 3.40
Gd1 0.0000 0.0000 0.0000  4 Cd 3.40, 4 Ho 3.40
Ho1 0.2500 0.2500 0.2500  4 Gd 3.40, 4 Eu 3.40

space group	F-43m
density of states at the Fermi level	3.87	states/eV/cell
ΔE_f	-0.005	eV/atom
total magnetic moment	14.4	μB/f.u.
uncorrected energy	-7.467	eV per atom